No. 1
# ZnTc2Os | Alexandria | PBE | relaxed
data_ZnTc2Os
_chemical_formula_sum 'Zn2 Tc4 Os2'
_symmetry_space_group_name_H-M 'I 4/m m m'
_symmetry_Int_Tables_number 139
_symmetry_space_group_name_Hall '-I 4 2'
_cell_length_a 3.7079
_cell_length_b 3.7079
_cell_length_c 8.3165
_cell_angle_alpha 90.00
_cell_angle_beta 90.00
_cell_angle_gamma 90.00
loop_
_atom_site_label
_atom_site_type_symbol
_atom_site_fract_x
_atom_site_fract_y
_atom_site_fract_z
Zn1 Zn 0.0000 0.0000 0.0000
Tc1 Tc 0.0000 0.5000 0.2500
Os1 Os 0.0000 0.0000 0.5000
# Final energy in eV/cell: -64.84
# ΔH_f (0 K) in kJ per mole of atoms: 20


No. 2
# Fe3Pd5Pt | Alexandria | PBE | relaxed
data_Fe3Pd5Pt
_chemical_formula_sum 'Fe12 Pd20 Pt4'
_symmetry_space_group_name_H-M 'C 1 2/m 1'
_symmetry_Int_Tables_number 12
_cell_length_a 13.2839
_cell_length_b 7.6119
_cell_length_c 6.8112
_cell_angle_alpha 90.00
_cell_angle_beta 115.92
_cell_angle_gamma 90.00
loop_
_symmetry_equiv_pos_as_xyz
'x,y,z'
'-x,-y,-z'
'-x,y,-z'
'x,-y,z'
'x+1/2,y+1/2,z'
'-x+1/2,-y+1/2,-z'
'-x+1/2,y+1/2,-z'
'x+1/2,-y+1/2,z'
loop_
_atom_site_label
_atom_site_type_symbol
_atom_site_fract_x
_atom_site_fract_y
_atom_site_fract_z
Fe1 Fe 0.0000 0.0000 0.0000
Fe2 Fe 0.0000 0.0000 0.5000
Fe3 Fe 0.1496 0.5000 0.3216
Fe4 Fe 0.1841 0.5000 0.7080
Pd1 Pd 0.0000 0.3160 0.5000
Pd2 Pd 0.0563 0.5000 0.8795
Pd3 Pd 0.1628 0.2219 0.1006
Pd4 Pd 0.1907 0.0000 0.8179
Pt1 Pt 0.1515 0.0000 0.3941
# Final energy in eV/cell: -216.34
# ΔH_f (0 K) in kJ per mole of atoms: 35


No. 3
# In3TePt12 | Alexandria | PBE | relaxed
data_In3TePt12
_chemical_formula_sum 'In3 Te1 Pt12'
_symmetry_space_group_name_H-M 'P 4/m m m'
_symmetry_Int_Tables_number 123
_symmetry_space_group_name_Hall '-P 4 2'
_cell_length_a 4.0729
_cell_length_b 4.0729
_cell_length_c 16.1892
_cell_angle_alpha 90.00
_cell_angle_beta 90.00
_cell_angle_gamma 90.00
loop_
_atom_site_label
_atom_site_type_symbol
_atom_site_fract_x
_atom_site_fract_y
_atom_site_fract_z
In1 In 0.0000 0.0000 0.0000
In2 In 0.0000 0.0000 0.2453
Te1 Te 0.0000 0.0000 0.5000
Pt1 Pt 0.0000 0.5000 0.1239
Pt2 Pt 0.0000 0.5000 0.3723
Pt3 Pt 0.5000 0.5000 0.0000
Pt4 Pt 0.5000 0.5000 0.2493
Pt5 Pt 0.5000 0.5000 0.5000
# Final energy in eV/cell: -88.20
# Uncorrected formation energy in meV/atom: -272


No. 4
# Tb13Mg2 | Alexandria | PBE | relaxed
data_Tb13Mg2
_chemical_formula_sum 'Tb13 Mg2'
_symmetry_space_group_name_H-M 'P -1'
_symmetry_Int_Tables_number 2
_cell_length_a 6.7001
_cell_length_b 8.6128
_cell_length_c 9.0005
_cell_angle_alpha 65.83
_cell_angle_beta 79.75
_cell_angle_gamma 82.25
loop_
_symmetry_equiv_pos_as_xyz
'x,y,z'
'-x,-y,-z'
loop_
_atom_site_label
_atom_site_type_symbol
_atom_site_fract_x
_atom_site_fract_y
_atom_site_fract_z
Tb1 Tb 0.0000 0.0000 0.0000
Tb2 Tb 0.1259 0.4767 0.7460
Tb3 Tb 0.1959 0.2314 0.1561
Tb4 Tb 0.2508 0.9412 0.5764
Tb5 Tb 0.3075 0.6606 0.9740
Tb6 Tb 0.3708 0.4111 0.3919
Tb7 Tb 0.4907 0.1376 0.7971
Mg1 Mg 0.0607 0.7566 0.3849
# Final energy in eV/cell: -62.96
# ΔH_f (0 K) in kJ per mole of atoms: 3


No. 5
# RbAlS2 | Alexandria | PBE | relaxed
data_RbAlS2
_chemical_formula_sum 'Rb2 Al2 S4'
_symmetry_space_group_name_H-M 'P 1 2/m 1'
_symmetry_Int_Tables_number 10
_cell_length_a 7.4331
_cell_length_b 5.7462
_cell_length_c 7.4365
_cell_angle_alpha 90.00
_cell_angle_beta 90.29
_cell_angle_gamma 90.00
loop_
_symmetry_equiv_pos_as_xyz
'x,y,z'
'-x,-y,-z'
'-x,y,-z'
'x,-y,z'
loop_
_atom_site_label
_atom_site_type_symbol
_atom_site_fract_x
_atom_site_fract_y
_atom_site_fract_z
Rb1 Rb 0.0000 0.0000 0.0000
Rb2 Rb 0.5000 0.5000 0.5000
Al1 Al 0.0000 0.2500 0.5000
S1 S 0.0992 0.5000 0.7149
S2 S 0.2146 0.0000 0.4021
# Final energy in eV/cell: -36.25
# Uncorrected formation energy in meV/atom: -1290


No. 6
# FeHgPd5 | Alexandria | PBE | relaxed
data_FeHgPd5
_chemical_formula_sum 'Fe1 Hg1 Pd5'
_symmetry_space_group_name_H-M 'P 4/m m m'
_symmetry_Int_Tables_number 123
_symmetry_space_group_name_Hall '-P 4 2'
_cell_length_a 4.1168
_cell_length_b 4.1168
_cell_length_c 6.9019
_cell_angle_alpha 90.00
_cell_angle_beta 90.00
_cell_angle_gamma 90.00
loop_
_atom_site_label
_atom_site_type_symbol
_atom_site_fract_x
_atom_site_fract_y
_atom_site_fract_z
Fe1 Fe 0.0000 0.0000 0.0000
Hg1 Hg 0.5000 0.5000 0.5000
Pd1 Pd 0.0000 0.0000 0.5000
Pd2 Pd 0.0000 0.5000 0.2099
# Final energy in eV/cell: -34.62
# ΔH_f (0 K) in kJ per mole of atoms: 1
# E above lowest polymorph in meV/atom: 0


No. 7
# Ac3Al8Ag3 | Alexandria | PBE | relaxed
data_Ac3Al8Ag3
_chemical_formula_sum 'Ac6 Al16 Ag6'
_symmetry_space_group_name_H-M 'I m m m'
_symmetry_Int_Tables_number 71
_symmetry_space_group_name_Hall '-I 2 2'
_cell_length_a 4.6551
_cell_length_b 10.0000
_cell_length_c 13.6025
_cell_angle_alpha 90.00
_cell_angle_beta 90.00
_cell_angle_gamma 90.00
loop_
_atom_site_label
_atom_site_type_symbol
_atom_site_fract_x
_atom_site_fract_y
_atom_site_fract_z
Ac1 Ac 0.0000 0.0000 0.0000
Ac2 Ac 0.0000 0.0000 0.3021
Al1 Al 0.0000 0.2799 0.1380
Al2 Al 0.0000 0.3628 0.3388
Ag1 Ag 0.0000 0.2074 0.5000
Ag2 Ag 0.0000 0.5000 0.0000
# Final energy in eV/cell: -110.74
# ΔH_f (0 K) in kJ per mole of atoms: -31
# E above lowest polymorph in meV/atom: 0


No. 8
# Ca2ScIn | Alexandria | PBE | relaxed
data_Ca2ScIn
_chemical_formula_sum 'Ca2 Sc1 In1'
_symmetry_space_group_name_H-M 'P 4/m m m'
_symmetry_Int_Tables_number 123
_symmetry_space_group_name_Hall '-P 4 2'
_cell_length_a 4.7691
_cell_length_b 4.7691
_cell_length_c 5.0491
_cell_angle_alpha 90.00
_cell_angle_beta 90.00
_cell_angle_gamma 90.00
loop_
_atom_site_label
_atom_site_type_symbol
_atom_site_fract_x
_atom_site_fract_y
_atom_site_fract_z
Ca1 Ca 0.0000 0.5000 0.0000
Sc1 Sc 0.0000 0.0000 0.5000
In1 In 0.5000 0.5000 0.5000
# Final energy in eV/cell: -13.72
# ΔH_f (0 K) in kJ per mole of atoms: -16


No. 9
# ZrCuSeS2 | Alexandria | PBE | relaxed
data_ZrCuSeS2
_chemical_formula_sum 'Zr1 Cu1 Se1 S2'
_symmetry_space_group_name_H-M 'P 4/m m m'
_symmetry_Int_Tables_number 123
_symmetry_space_group_name_Hall '-P 4 2'
_cell_length_a 4.4905
_cell_length_b 4.4905
_cell_length_c 4.6967
_cell_angle_alpha 90.00
_cell_angle_beta 90.00
_cell_angle_gamma 90.00
loop_
_atom_site_label
_atom_site_type_symbol
_atom_site_fract_x
_atom_site_fract_y
_atom_site_fract_z
Zr1 Zr 0.0000 0.0000 0.0000
Cu1 Cu 0.5000 0.5000 0.5000
Se1 Se 0.5000 0.5000 0.0000
S1 S 0.0000 0.5000 0.5000
# Final energy in eV/cell: -24.51
# Uncorrected formation energy in meV/atom: -26


No. 10
# Tb12Tl5Ni2 | Alexandria | PBE | relaxed
data_Tb12Tl5Ni2
_chemical_formula_sum 'Tb24 Tl10 Ni4'
_symmetry_space_group_name_H-M 'C 1 2/m 1'
_symmetry_Int_Tables_number 12
_cell_length_a 16.9488
_cell_length_b 7.5458
_cell_length_c 9.7132
_cell_angle_alpha 90.00
_cell_angle_beta 104.96
_cell_angle_gamma 90.00
loop_
_symmetry_equiv_pos_as_xyz
'x,y,z'
'-x,-y,-z'
'-x,y,-z'
'x,-y,z'
'x+1/2,y+1/2,z'
'-x+1/2,-y+1/2,-z'
'-x+1/2,y+1/2,-z'
'x+1/2,-y+1/2,z'
loop_
_atom_site_label
_atom_site_type_symbol
_atom_site_fract_x
_atom_site_fract_y
_atom_site_fract_z
Tb1 Tb 0.0023 0.0000 0.2505
Tb2 Tb 0.0117 0.5000 0.8308
Tb3 Tb 0.1517 0.2545 0.5776
Tb4 Tb 0.1579 0.2428 0.0888
Tl1 Tl 0.0000 0.5000 0.5000
Tl2 Tl 0.1899 0.0000 0.8414
Tl3 Tl 0.1949 0.0000 0.3605
Ni1 Ni 0.0000 0.1843 0.0000
# Final energy in eV/cell: -161.62
# ΔH_f (0 K) in kJ per mole of atoms: -9


No. 11
# HgP2ICl | Alexandria | PBE | relaxed
data_HgP2ICl
_chemical_formula_sum 'Hg1 P2 I1 Cl1'
_symmetry_space_group_name_H-M 'P 4/m m m'
_symmetry_Int_Tables_number 123
_symmetry_space_group_name_Hall '-P 4 2'
_cell_length_a 5.1575
_cell_length_b 5.1575
_cell_length_c 5.1456
_cell_angle_alpha 90.00
_cell_angle_beta 90.00
_cell_angle_gamma 90.00
loop_
_atom_site_label
_atom_site_type_symbol
_atom_site_fract_x
_atom_site_fract_y
_atom_site_fract_z
Hg1 Hg 0.0000 0.0000 0.0000
P1 P 0.0000 0.5000 0.0000
I1 I 0.5000 0.5000 0.5000
Cl1 Cl 0.0000 0.0000 0.5000
# Final energy in eV/cell: -10.07
# E above lowest polymorph in meV/atom: 0
# Uncorrected formation energy in meV/atom: 890


No. 12
# Sr2AcTbSe4 | Alexandria | PBE | relaxed
data_Sr2AcTbSe4
_chemical_formula_sum 'Sr2 Ac1 Tb1 Se4'
_symmetry_space_group_name_H-M 'P 1 2/m 1'
_symmetry_Int_Tables_number 10
_cell_length_a 7.5136
_cell_length_b 4.3314
_cell_length_c 7.6189
_cell_angle_alpha 90.00
_cell_angle_beta 109.08
_cell_angle_gamma 90.00
loop_
_symmetry_equiv_pos_as_xyz
'x,y,z'
'-x,-y,-z'
'-x,y,-z'
'x,-y,z'
loop_
_atom_site_label
_atom_site_type_symbol
_atom_site_fract_x
_atom_site_fract_y
_atom_site_fract_z
Sr1 Sr 0.0000 0.0000 0.0000
Sr2 Sr 0.5000 0.5000 0.0000
Ac1 Ac 0.0000 0.5000 0.5000
Tb1 Tb 0.5000 0.0000 0.5000
Se1 Se 0.2625 0.0000 0.7467
Se2 Se 0.2665 0.5000 0.2624
# Final energy in eV/cell: -41.20
# Uncorrected formation energy in meV/atom: -1895